FeC | PBE-GGA | optimized geometry

- DFT total energy: -33.04 eV/cell
- Energy of formation: 0.58 eV per atom
- Spin magnetization: 3.128 Bohr magnetons per cell

Cell lengths 3.934, 3.934, 2.545 Å; angles 90.00, 90.00, 125.65 degrees
Atoms (fractional coordinates):
1 Fe 0.164 0.836 0.750
2 Fe 0.836 0.164 0.250
3 C 0.442 0.558 0.750
4 C 0.558 0.442 0.250


FeC2 | PBE-GGA | optimized geometry

- Excess energy over the best structure of this formula in the dataset: 1.481 eV/f.u.
- DFT total energy: -47.75 eV/cell
- Energy of formation: 1.01 eV per atom
- Spin magnetization: 0.000 Bohr magnetons per cell

Cell lengths 3.552, 3.552, 4.136 Å; angles 90.00, 90.00, 91.79 degrees
Atoms (fractional coordinates):
1 Fe 0.144 0.856 0.750
2 Fe 0.856 0.144 0.250
3 C 0.086 0.639 0.250
4 C 0.361 0.914 0.250
5 C 0.639 0.086 0.750
6 C 0.914 0.361 0.750


FeC3 | PBE-GGA | optimized geometry

- Excess energy over the best structure of this formula in the dataset: 3.007 eV/f.u.
- DFT total energy: -123.37 eV/cell
- Energy of formation: 1.32 eV per atom
- Spin magnetization: 4.440 Bohr magnetons per cell

Cell lengths 4.826, 5.356, 4.830 Å; angles 90.00, 90.00, 90.00 degrees
Atoms (fractional coordinates):
1 Fe 0.160 0.250 0.023
2 Fe 0.340 0.750 0.523
3 Fe 0.660 0.250 0.477
4 Fe 0.840 0.750 0.977
5 C 0.069 0.250 0.431
6 C 0.234 0.615 0.109
7 C 0.234 0.885 0.109
8 C 0.266 0.115 0.609
9 C 0.266 0.385 0.609
10 C 0.431 0.750 0.931
11 C 0.569 0.250 0.069
12 C 0.734 0.615 0.391
13 C 0.734 0.885 0.391
14 C 0.766 0.115 0.891
15 C 0.766 0.385 0.891
16 C 0.931 0.750 0.569


Fe5C | PBE-GGA | optimized geometry

- Excess energy over the best structure of this formula in the dataset: 1.770 eV/f.u.
- DFT total energy: -48.75 eV/cell
- Energy of formation: 0.46 eV per atom
- Spin magnetization: 3.102 Bohr magnetons per cell

Cell lengths 6.571, 6.571, 3.837 Å; angles 90.00, 90.00, 158.39 degrees
Atoms (fractional coordinates):
1 Fe 0.000 0.000 0.000
2 Fe 0.119 0.881 0.500
3 Fe 0.322 0.678 0.000
4 Fe 0.678 0.322 0.000
5 Fe 0.881 0.119 0.500
6 C 0.500 0.500 0.500